# CdGeClF6

A relaxed CdGeClF6 crystal (GGA-PBE, Alexandria).

The space group is P1 (No. 1) and the conventional cell measures 4.993, 5.517 and 5.980 Å, with angles of 69.77, 84.83 and 82.80 degrees. The inequivalent atoms are Cd at (0.000, 0.000, 0.000), Ge at (0.905, 0.377, 0.333), Cl at (0.545, 0.924, 0.839), F at (0.028, 0.325, 0.625), F at (0.104, 0.070, 0.336), F at (0.178, 0.569, 0.162), F at (0.599, 0.216, 0.470), F at (0.721, 0.690, 0.310) and F at (0.786, 0.378, 0.048).

As for the total magnetization: 1.0 μB per cell. The value obtained for the formation energy (no corrections) is -1.91 eV per atom.